(1)
Nd2PaI | PBE | optimized geometry

Computed properties:
The calculation puts the formation energy from raw total energies at 9 kJ per mole of atoms. Its size of the total moment is 0.00 μB/f.u. The total energy is -5.0529 eV/atom.

a = 3.501 Å, b = 3.501 Å, c = 11.964 Å
α = 81.59°, β = 81.59°, γ = 60.00°
Fractional positions:
1 I 0.500 0.500 0.500
2 Pa 0.000 0.000 0.000
3 Nd 0.093 0.093 0.720
4 Nd 0.907 0.907 0.280



(2)
NdPaI6 | PBE | optimized geometry

Computed properties:
The calculation puts the formation energy from raw total energies at -105 kJ per mole of atoms. Its size of the total moment is 2.00 μB/f.u. The total energy is -4.0296 eV/atom.

a = 7.600 Å, b = 8.358 Å, c = 8.358 Å
α = 125.86°, β = 99.25°, γ = 99.25°
Last column: magnetic moment on the atom in μB.
Fractional positions:
1 Nd 0.000 0.000 0.000  0.20
2 Pa 0.500 0.500 0.500  1.52
3 I 0.747 0.594 0.897  -0.02
4 I 0.747 0.897 0.594  -0.02
5 I 0.253 0.103 0.406  -0.02
6 I 0.253 0.406 0.103  -0.02
7 I 0.746 0.253 0.253  -0.01
8 I 0.254 0.747 0.747  -0.01



(3)
Nd2PbI3 | PBE | optimized geometry

Computed properties:
The calculation puts the formation energy from raw total energies at -97 kJ per mole of atoms. Its size of the total moment is 0.00 μB/f.u. The total energy is -3.9911 eV/atom.

a = 4.249 Å, b = 10.536 Å, c = 11.498 Å
α = 81.90°, β = 79.35°, γ = 78.37°
Fractional positions:
1 Nd 0.873 0.419 0.834
2 Nd 0.127 0.581 0.166
3 Nd 0.607 0.209 0.576
4 Nd 0.393 0.791 0.424
5 Pb 0.427 0.516 0.630
6 Pb 0.573 0.484 0.370
7 I 0.046 0.122 0.785
8 I 0.954 0.878 0.215
9 I 0.677 0.684 0.962
10 I 0.323 0.316 0.038
11 I 0.758 0.871 0.612
12 I 0.242 0.129 0.388



(4)
Nd6PbI8 | PBE | optimized geometry

Computed properties:
The calculation puts the formation energy from raw total energies at -105 kJ per mole of atoms. Its size of the total moment is 0.00 μB/f.u. The total energy is -4.0688 eV/atom.

a = 7.738 Å, b = 7.738 Å, c = 12.462 Å
α = 71.91°, β = 71.91°, γ = 60.00°
Fractional positions:
1 Nd 0.949 0.615 0.152
2 Nd 0.716 0.051 0.848
3 Nd 0.385 0.716 0.848
4 Nd 0.615 0.284 0.152
5 Nd 0.284 0.949 0.152
6 Nd 0.051 0.385 0.848
7 Pb 0.000 0.000 0.000
8 I 0.778 0.437 0.677
9 I 0.892 0.222 0.323
10 I 0.563 0.892 0.323
11 I 0.333 0.333 0.000
12 I 0.667 0.667 0.000
13 I 0.437 0.108 0.677
14 I 0.108 0.778 0.677
15 I 0.222 0.563 0.323



(5)
Nd4Pb2I3 | PBE | optimized geometry

Computed properties:
The calculation puts the formation energy from raw total energies at -90 kJ per mole of atoms. Its size of the total moment is 0.00 μB/f.u. The total energy is -4.3910 eV/atom.

a = 4.582 Å, b = 4.582 Å, c = 18.857 Å
α = 90.04°, β = 89.96°, γ = 120.00°
Fractional positions:
1 Nd 0.334 0.666 0.890
2 Nd 0.999 0.001 0.294
3 Nd 0.001 0.999 0.706
4 Nd 0.666 0.334 0.110
5 Pb 0.667 0.333 0.800
6 Pb 0.333 0.667 0.200
7 I 0.666 0.334 0.397
8 I 0.000 0.000 0.000
9 I 0.334 0.666 0.603



(6)
Nd4Pb3I | PBE | optimized geometry

Computed properties:
The calculation puts the formation energy from raw total energies at -63 kJ per mole of atoms. Its size of the total moment is 0.00 μB/f.u. The total energy is -4.6252 eV/atom.

a = 6.454 Å, b = 6.454 Å, c = 7.924 Å
α = 114.08°, β = 114.08°, γ = 89.93°
Fractional positions:
1 Pb 0.500 0.500 0.000
2 Pb 0.750 0.250 0.500
3 Pb 0.250 0.750 0.500
4 I 0.000 0.000 0.000
5 Nd 0.000 0.500 0.000
6 Nd 0.500 0.000 0.000
7 Nd 0.254 0.254 0.508
8 Nd 0.746 0.746 0.492



(7)
NdPbI2 | PBE | optimized geometry

Computed properties:
The calculation puts the formation energy from raw total energies at -30 kJ per mole of atoms. Its size of the total moment is 0.00 μB/f.u. The total energy is -3.2077 eV/atom.

a = 4.002 Å, b = 4.002 Å, c = 11.673 Å
α = 80.13°, β = 80.13°, γ = 60.00°
Fractional positions:
1 Pb 0.500 0.500 0.500
2 I 0.089 0.089 0.734
3 I 0.911 0.911 0.266
4 Nd 0.000 0.000 0.000



(8)
NdPbI5 | PBE | optimized geometry

Computed properties:
The calculation puts the formation energy from raw total energies at -102 kJ per mole of atoms. Its size of the total moment is 0.00 μB/f.u. The total energy is -3.3754 eV/atom.

a = 4.582 Å, b = 9.276 Å, c = 15.152 Å
α = 93.97°, β = 90.00°, γ = 90.00°
Fractional positions:
1 Nd 0.250 0.412 0.348
2 Nd 0.750 0.588 0.652
3 Pb 0.750 0.096 0.135
4 Pb 0.250 0.904 0.865
5 I 0.250 0.077 0.316
6 I 0.750 0.145 0.927
7 I 0.750 0.320 0.485
8 I 0.250 0.357 0.135
9 I 0.250 0.379 0.706
10 I 0.750 0.621 0.294
11 I 0.750 0.643 0.865
12 I 0.250 0.680 0.515
13 I 0.250 0.855 0.073
14 I 0.750 0.923 0.684



(9)
Nd7PbI12 | PBE | optimized geometry

Computed properties:
The calculation puts the formation energy from raw total energies at -119 kJ per mole of atoms. Its size of the total moment is 0.00 μB/f.u. The total energy is -4.0147 eV/atom.

a = 10.092 Å, b = 10.092 Å, c = 10.092 Å
α = 108.22°, β = 108.22°, γ = 108.22°
Fractional positions:
1 Nd 0.956 0.664 0.885
2 Nd 0.336 0.115 0.044
3 Nd 0.115 0.044 0.336
4 Nd 0.500 0.500 0.500
5 Nd 0.885 0.956 0.664
6 Nd 0.664 0.885 0.956
7 Nd 0.044 0.336 0.115
8 Pb 0.000 0.000 0.000
9 I 0.921 0.307 0.768
10 I 0.693 0.232 0.079
11 I 0.474 0.156 0.395
12 I 0.844 0.605 0.526
13 I 0.232 0.079 0.693
14 I 0.605 0.526 0.844
15 I 0.395 0.474 0.156
16 I 0.768 0.921 0.307
17 I 0.156 0.395 0.474
18 I 0.526 0.844 0.605
19 I 0.307 0.768 0.921
20 I 0.079 0.693 0.232



(10)
PmNdPbI | PBE | optimized geometry

Computed properties:
The calculation puts the formation energy from raw total energies at -61 kJ per mole of atoms. Its size of the total moment is 0.00 μB/f.u. The total energy is -4.3314 eV/atom.

a = 5.578 Å, b = 5.578 Å, c = 5.578 Å
α = 60.00°, β = 60.00°, γ = 60.00°
Fractional positions:
1 Pb 0.000 0.000 0.000
2 I 0.500 0.500 0.500
3 Nd 0.250 0.250 0.250
4 Pm 0.750 0.750 0.750



(11)
NdTlPbI6 | PBE | optimized geometry

Computed properties:
The calculation puts the formation energy from raw total energies at -96 kJ per mole of atoms. Its size of the total moment is 0.00 μB/f.u. The total energy is -3.2296 eV/atom.

a = 8.178 Å, b = 8.178 Å, c = 15.239 Å
α = 90.00°, β = 90.00°, γ = 120.00°
Fractional positions:
1 Nd 0.667 0.333 0.250
2 Nd 0.333 0.667 0.750
3 Tl 0.000 0.000 0.000
4 Tl 0.000 0.000 0.500
5 Pb 0.333 0.667 0.250
6 Pb 0.667 0.333 0.750
7 I 0.645 0.634 0.130
8 I 0.989 0.355 0.130
9 I 0.355 0.989 0.630
10 I 0.011 0.645 0.870
11 I 0.366 0.355 0.370
12 I 0.989 0.634 0.370
13 I 0.634 0.989 0.870
14 I 0.645 0.011 0.370
15 I 0.011 0.366 0.630
16 I 0.366 0.011 0.130
17 I 0.634 0.645 0.630
18 I 0.355 0.366 0.870



(12)
NdPdI6 | PBE | optimized geometry

Computed properties:
The calculation puts the formation energy from raw total energies at -61 kJ per mole of atoms. Its size of the total moment is 0.52 μB/f.u. The total energy is -3.0412 eV/atom.

a = 7.298 Å, b = 7.588 Å, c = 7.863 Å
α = 63.77°, β = 62.28°, γ = 57.87°
Last column: magnetic moment on the atom in μB.
Fractional positions:
1 Nd 0.500 0.500 0.500  0.01
2 Pd 0.000 0.000 0.000  0.19
3 I 0.077 0.401 0.756  0.07
4 I 0.774 0.066 0.768  0.02
5 I 0.597 0.222 0.240  0.01
6 I 0.226 0.934 0.232  0.02
7 I 0.923 0.599 0.244  0.07
8 I 0.403 0.778 0.760  0.01